No. 1
# NiTe3Pt, optimized geometry, DFT PBE
data_NiTe3Pt
_chemical_formula_sum 'Ni4 Te12 Pt4'
_cell_length_a 6.588
_cell_length_b 11.798
_cell_length_c 6.545
_cell_angle_alpha 90.00
_cell_angle_beta 90.00
_cell_angle_gamma 90.00
_space_group_name_H-M_alt 'P n m a'
_space_group_IT_number 62
loop_
_space_group_symop_operation_xyz
'x,y,z'
'-x,-y,-z'
'-x+1/2,-y,z+1/2'
'x+1/2,y,-z+1/2'
'x+1/2,-y+1/2,-z+1/2'
'-x+1/2,y+1/2,z+1/2'
'-x,y+1/2,-z'
'x,-y+1/2,z'
loop_
_atom_site_label
_atom_site_type_symbol
_atom_site_fract_x
_atom_site_fract_y
_atom_site_fract_z
Ni1 Ni 0.149 0.250 0.047
Te1 Te 0.030 0.250 0.399
Te2 Te 0.135 0.069 0.868
Pt1 Pt 0.000 0.000 0.500
# - energy relative to the lowest polymorph listed for this composition (meV per atom) = 107
# - energy relative to the elements, uncorrected (kcal/mol of atoms) = -3.09

---

No. 2
# Rb2Na2CeSe4, optimized geometry, DFT PBE
data_Rb2Na2CeSe4
_chemical_formula_sum 'Rb4 Na4 Ce2 Se8'
_cell_length_a 16.574
_cell_length_b 4.511
_cell_length_c 8.275
_cell_angle_alpha 90.00
_cell_angle_beta 111.92
_cell_angle_gamma 90.00
_space_group_name_H-M_alt 'C 1 2/m 1'
_space_group_IT_number 12
loop_
_space_group_symop_operation_xyz
'x,y,z'
'-x,-y,-z'
'-x,y,-z'
'x,-y,z'
'x+1/2,y+1/2,z'
'-x+1/2,-y+1/2,-z'
'-x+1/2,y+1/2,-z'
'x+1/2,-y+1/2,z'
loop_
_atom_site_label
_atom_site_type_symbol
_atom_site_fract_x
_atom_site_fract_y
_atom_site_fract_z
Rb1 Rb 0.139 0.000 0.054
Na1 Na 0.179 0.500 0.475
Ce1 Ce 0.000 0.000 0.500
Se1 Se 0.002 0.500 0.271
Se2 Se 0.188 0.000 0.680
# - energy relative to the elements, uncorrected (kcal/mol of atoms) = -30.06

---

No. 3
# YMnZn2, optimized geometry, DFT PBE
data_YMnZn2
_chemical_formula_sum 'Y3 Mn3 Zn6'
_cell_length_a 4.3194
_cell_length_b 4.3194
_cell_length_c 14.5512
_cell_angle_alpha 90.00
_cell_angle_beta 90.00
_cell_angle_gamma 120.00
_space_group_name_H-M_alt 'R 3 m'
_space_group_IT_number 160
_space_group_name_Hall 'R 3 -2"'
loop_
_atom_site_label
_atom_site_type_symbol
_atom_site_fract_x
_atom_site_fract_y
_atom_site_fract_z
Y1 Y 0.0000 0.0000 0.0000
Mn1 Mn 0.0000 0.0000 0.7975
Zn1 Zn 0.0000 0.0000 0.2052
Zn2 Zn 0.0000 0.0000 0.5031
# - E_form (meV per atom) = -22

---

No. 4
# Ce2PH2Br, optimized geometry, DFT PBE
data_Ce2PH2Br
_chemical_formula_sum 'Ce2 P1 H2 Br1'
_cell_length_a 3.9759
_cell_length_b 3.9759
_cell_length_c 8.0802
_cell_angle_alpha 90.00
_cell_angle_beta 90.00
_cell_angle_gamma 120.00
_space_group_name_H-M_alt 'P -3 m 1'
_space_group_IT_number 164
_space_group_name_Hall '-P 3 2"'
loop_
_atom_site_label
_atom_site_type_symbol
_atom_site_fract_x
_atom_site_fract_y
_atom_site_fract_z
Ce1 Ce 0.3333 0.6667 0.2847
P1 P 0.0000 0.0000 0.5000
H1 H 0.3333 0.6667 0.7454
Br1 Br 0.0000 0.0000 0.0000
# - electronic total energy (eV per atom) = -5.398